Material: Li3V5O12
Method: DFT, PBE with a Hubbard U
State: optimized geometry

a b c (Å): 10.671 10.671 10.671
angles (deg): 109.47 109.47 109.47
Atoms (fractional coordinates):
Li  0.125  0.250  0.375
Li  0.125  0.375  0.750
Li  0.250  0.375  0.125
Li  0.250  0.875  0.625
Li  0.375  0.125  0.250
Li  0.375  0.750  0.125
Li  0.625  0.250  0.875
Li  0.625  0.875  0.750
Li  0.750  0.125  0.375
Li  0.750  0.625  0.875
Li  0.875  0.625  0.250
Li  0.875  0.750  0.625
V  0.000  0.000  0.000
V  0.000  0.000  0.500
V  0.000  0.500  0.000
V  0.000  0.500  0.500
V  0.125  0.750  0.875
V  0.125  0.875  0.250
V  0.250  0.125  0.875
V  0.250  0.625  0.375
V  0.375  0.250  0.625
V  0.375  0.625  0.750
V  0.500  0.000  0.000
V  0.500  0.000  0.500
V  0.500  0.500  0.000
V  0.500  0.500  0.500
V  0.625  0.375  0.250
V  0.625  0.750  0.375
V  0.750  0.375  0.625
V  0.750  0.875  0.125
V  0.875  0.125  0.750
V  0.875  0.250  0.125
O  0.015  0.203  0.115
O  0.015  0.312  0.899
O  0.088  0.703  0.688
O  0.088  0.885  0.399
O  0.101  0.615  0.412
O  0.101  0.985  0.688
O  0.115  0.015  0.203
O  0.115  0.601  0.912
O  0.188  0.203  0.588
O  0.188  0.485  0.601
O  0.203  0.115  0.015
O  0.203  0.588  0.188
O  0.297  0.312  0.912
O  0.297  0.485  0.385
O  0.312  0.899  0.015
O  0.312  0.912  0.297
O  0.385  0.297  0.485
O  0.385  0.588  0.899
O  0.399  0.088  0.885
O  0.399  0.812  0.515
O  0.412  0.101  0.615
O  0.412  0.812  0.797
O  0.485  0.385  0.297
O  0.485  0.601  0.188
O  0.515  0.399  0.812
O  0.515  0.615  0.703
O  0.588  0.188  0.203
O  0.588  0.899  0.385
O  0.601  0.188  0.485
O  0.601  0.912  0.115
O  0.615  0.412  0.101
O  0.615  0.703  0.515
O  0.688  0.088  0.703
O  0.688  0.101  0.985
O  0.703  0.515  0.615
O  0.703  0.688  0.088
O  0.797  0.412  0.812
O  0.797  0.885  0.985
O  0.812  0.515  0.399
O  0.812  0.797  0.412
O  0.885  0.399  0.088
O  0.885  0.985  0.797
O  0.899  0.015  0.312
O  0.899  0.385  0.588
O  0.912  0.115  0.601
O  0.912  0.297  0.312
O  0.985  0.688  0.101
O  0.985  0.797  0.885

Properties
- Energy above the lowest structure with this stoichiometry: 0.38 kcal/mol of atoms
- Space-group type: Ia-3d (230)
- Total magnetic moment: 0.200 μB/atom
- DFT total energy: -7.123 eV/atom
- ρ: 3.32 g/cm³